1.
ScCuCl2 | PBE-GGA | relaxed

POSCAR file:
```
ScCuCl2
1.0
5.9767 -0.0028 0.0000
3.7302 4.6697 0.0000
-4.8534 -2.3335 2.5923
Cl Sc Cu
2 1 1
direct
0.2500 0.7500 0.5000
0.0000 0.0000 0.0000
0.7500 0.2500 0.5000
0.5000 0.5000 0.0000
```

Values from the calculation:
- energy above the lowest structure with this stoichiometry (meV/atom) = 470
- symmetry = I-4m2, No. 119
- ρ (g/cm3) = 4.12
- formation energy from raw total energies (eV per atom) = -0.558


2.
ScCu2Cl | PBE-GGA | relaxed

POSCAR file:
```
ScCu2Cl
1.0
7.4878 0.0000 0.0000
0.0000 7.4878 0.0000
3.7439 3.7439 2.4886
Cu Sc Cl
4 2 2
direct
0.6063 0.1250 0.2500
0.8750 0.8563 0.7500
0.3750 0.3937 0.7500
0.1437 0.6250 0.2500
0.0000 0.0000 0.0000
0.7500 0.2500 0.5000
0.2500 0.7500 0.5000
0.5000 0.5000 0.0000
```

Values from the calculation:
- energy above the lowest structure with this stoichiometry (meV/atom) = 201
- symmetry = I-42d, No. 122
- ρ (g/cm3) = 4.94
- formation energy from raw total energies (eV per atom) = -0.236


3.
ScCuCl2 | PBE-GGA | relaxed

POSCAR file:
```
ScCuCl2
1.0
-1.2541 -2.5684 1.9304
4.8360 -2.6016 -0.3197
1.1842 1.8108 3.1787
Cl Cu Sc
2 1 1
direct
0.0000 0.0000 0.0000
0.5000 0.5000 0.0000
0.5000 0.0000 0.5000
0.0000 0.5000 0.5000
```

Values from the calculation:
- energy above the lowest structure with this stoichiometry (meV/atom) = 439
- symmetry = Pmmm, No. 47
- ρ (g/cm3) = 4.08
- formation energy from raw total energies (eV per atom) = -0.589


4.
ScCu2Cl6 | PBE-GGA | relaxed

POSCAR file:
```
ScCu2Cl6
1.0
-5.2644 0.1596 -3.5767
-1.0850 -8.7396 -1.7898
-6.2997 -1.6099 6.2035
Cl Sc Cu
12 2 4
direct
0.9615 0.5402 0.6889
0.4615 0.6889 0.5402
0.8717 0.1735 0.0441
0.3541 0.3415 0.8920
0.6459 0.6585 0.1080
0.3717 0.0441 0.1735
0.5385 0.3111 0.4598
0.1459 0.1080 0.6585
0.0385 0.4598 0.3111
0.8541 0.8920 0.3415
0.6283 0.9559 0.8265
0.1283 0.8265 0.9559
0.2500 0.0835 0.9165
0.7500 0.9165 0.0835
0.6715 0.5002 0.3145
0.3285 0.4998 0.6855
0.1715 0.3145 0.5002
0.8285 0.6855 0.4998
```

Values from the calculation:
- symmetry = C2/c, No. 15
- ρ (g/cm3) = 2.59
- formation energy from raw total energies (eV per atom) = -1.187


5.
ScCuCl2 | PBE-GGA | relaxed

POSCAR file:
```
ScCuCl2
1.0
3.3048 0.0102 0.0000
-0.0221 3.3048 0.0000
0.0000 0.0000 7.8198
Cl Cu Sc
2 1 1
direct
0.5000 0.5000 0.3665
0.0000 0.0000 0.9189
0.0000 0.0000 0.5094
0.5000 0.5000 0.7051
```

Values from the calculation:
- energy above the lowest structure with this stoichiometry (meV/atom) = 139
- symmetry = Cmm2, No. 35
- ρ (g/cm3) = 3.49
- formation energy from raw total energies (eV per atom) = -0.888


6.
ScCu2Cl6 | PBE-GGA | relaxed

POSCAR file:
```
ScCu2Cl6
1.0
6.3911 -0.3636 -0.3520
1.3995 8.7476 0.5320
1.3995 0.8152 8.7258
Cl Cu Sc
12 4 2
direct
0.3999 0.0355 0.1720
0.8999 0.1720 0.0355
0.8641 0.8802 0.3527
0.3641 0.3527 0.8802
0.1001 0.8280 0.9645
0.8974 0.5345 0.7112
0.6026 0.2888 0.4655
0.6001 0.9645 0.8280
0.6359 0.6473 0.1198
0.1359 0.1198 0.6473
0.3974 0.7112 0.5345
0.1026 0.4655 0.2888
0.7465 0.6959 0.5330
0.2465 0.5330 0.6959
0.2535 0.3041 0.4670
0.7535 0.4670 0.3041
0.2500 0.0869 0.9131
0.7500 0.9131 0.0869
```

Values from the calculation:
- symmetry = C2/c, No. 15
- ρ (g/cm3) = 2.59
- formation energy from raw total energies (eV per atom) = -1.188


7.
Sc4CuCl | PBE-GGA | relaxed

POSCAR file:
```
Sc4CuCl
1.0
0.0000 4.1522 4.1522
4.1522 0.0000 4.1522
4.1522 4.1522 0.0000
Cl Sc Cu
1 4 1
direct
0.7500 0.7500 0.7500
0.3733 0.3733 0.3733
0.3733 0.8802 0.3733
0.8802 0.3733 0.3733
0.3733 0.3733 0.8802
0.0000 0.0000 0.0000
```

Values from the calculation:
- symmetry = F-43m, No. 216
- ρ (g/cm3) = 3.23
- formation energy from raw total energies (eV per atom) = 0.465


8.
ScCu2Cl | PBE-GGA | relaxed

POSCAR file:
```
ScCu2Cl
1.0
-3.6656 -3.3009 -0.5429
2.2057 -4.4168 0.5038
-0.7291 4.1215 2.6663
Cu Cl Sc
2 1 1
direct
0.9954 0.9954 0.0000
0.7665 0.2665 0.5000
0.2421 0.7421 0.5000
0.4960 0.4960 0.0000
```

Values from the calculation:
- energy above the lowest structure with this stoichiometry (meV/atom) = 298
- symmetry = Imm2, No. 44
- ρ (g/cm3) = 5.05
- formation energy from raw total energies (eV per atom) = -0.139


9.
ScCuCl2 | PBE-GGA | relaxed

POSCAR file:
```
ScCuCl2
1.0
-3.8701 -3.4537 -4.7970
1.5873 -3.9758 -5.6206
0.2073 1.6910 6.8567
Sc Cl Cu
1 2 1
direct
0.7628 0.2628 0.5000
0.2335 0.7335 0.5000
0.9158 0.9158 0.0000
0.5879 0.5879 0.0000
```

Values from the calculation:
- energy above the lowest structure with this stoichiometry (meV/atom) = 218
- symmetry = Imm2, No. 44
- ρ (g/cm3) = 3.19
- formation energy from raw total energies (eV per atom) = -0.810


10.
ScCu2Cl | PBE-GGA | relaxed

POSCAR file:
```
ScCu2Cl
1.0
3.2139 0.0000 0.0000
0.0000 3.1583 -0.1655
0.0000 1.9767 7.4003
Cu Sc Cl
2 1 1
direct
0.5000 0.1923 0.2394
0.0000 0.7587 0.1086
0.0000 0.5760 0.4729
0.5000 0.9730 0.6791
```

Values from the calculation:
- energy above the lowest structure with this stoichiometry (meV/atom) = 13
- symmetry = Amm2, No. 38
- ρ (g/cm3) = 4.52
- formation energy from raw total energies (eV per atom) = -0.424


11.
ScCuSe2Cl | PBE-GGA | relaxed

POSCAR file:
```
ScCuSe2Cl
1.0
4.5943 0.0000 0.0000
0.0000 5.4515 0.0000
0.0000 0.0000 4.5943
Cl Sc Cu Se
1 1 1 2
direct
0.5000 0.5000 0.5000
0.0000 0.5000 0.0000
0.0000 0.0000 0.0000
0.0000 0.0000 0.5000
0.5000 0.0000 0.0000
```

Values from the calculation:
- energy above the lowest structure with this stoichiometry (meV/atom) = 0
- symmetry = P4/mmm, No. 123
- ρ (g/cm3) = 4.36
- formation energy from raw total energies (eV per atom) = -0.161


12.
ScCuSe2Cl | PBE-GGA | relaxed

POSCAR file:
```
ScCuSe2Cl
1.0
-4.0611 0.4822 3.4297
-0.7993 -4.0337 -0.3793
3.3058 -1.0368 4.0601
Cu Sc Se Cl
1 1 2 1
direct
0.0000 0.5000 0.0000
0.5000 0.5000 0.5000
0.5000 0.0000 0.0000
0.0000 0.0000 0.5000
0.0000 0.0000 0.0000
```

Values from the calculation:
- energy above the lowest structure with this stoichiometry (meV/atom) = 374
- symmetry = P4/mmm, No. 123
- ρ (g/cm3) = 4.26
- formation energy from raw total energies (eV per atom) = 0.214